First-principles (meta-GGA SCAN) data for a crystal of SrSc2Te4 relaxed with PBEsol, as listed in Alexandria via LeMat-Bulk.

Results
The calculation puts the uncorrected energy at -30.07 eV/atom. The formation energy (no corrections) is -1.531 eV/atom. Its symmetry is Pnma, No. 62. The spin magnetization comes out at 0.00 Bohr magnetons per cell.

The structure in extended XYZ format:
```
28
Lattice="13.075 0.000 0.000 0.000 4.185 0.000 0.000 0.000 15.222" Properties=species:S:1:pos:R:3 pbc="T T T"
Sr 3.110 1.046 2.657
Sr 3.427 3.139 10.268
Sr 9.648 1.046 4.954
Sr 9.965 3.139 12.565
Sc 0.693 1.046 5.916
Sc 1.101 1.046 13.804
Sc 5.436 3.139 6.193
Sc 5.844 3.139 13.527
Sc 7.231 1.046 1.695
Sc 7.639 1.046 9.029
Sc 11.974 3.139 1.418
Sc 12.382 3.139 9.306
Te 0.407 3.139 11.961
Te 1.236 1.046 8.738
Te 1.647 3.139 0.502
Te 2.645 3.139 5.234
Te 3.893 1.046 12.845
Te 4.890 1.046 8.113
Te 5.302 3.139 1.127
Te 6.130 1.046 4.350
Te 6.945 3.139 10.872
Te 7.774 1.046 14.096
Te 8.185 3.139 7.109
Te 9.182 3.139 2.377
Te 10.431 1.046 9.988
Te 11.428 1.046 14.720
Te 11.839 3.139 6.484
Te 12.668 1.046 3.261
```